{
  "formula": "Ce2ThCd",
  "functional": "GGA-PBE",
  "state": "relaxed",
  "lattice": [[1.7004, 0.9817, 11.3180], [-1.7004, 0.9817, 11.3180], [0.0000, -1.9634, 11.3180]],
  "species": ["Ce", "Ce", "Th", "Cd"],
  "frac_coords": [[0.0000, 0.0000, 0.0000], [0.1710, 0.1710, 0.1710], [0.7521, 0.7521, 0.7521], [0.5857, 0.5857, 0.5857]],
  "de_polymorph_mev_per_atom": 100,
  "dos_ef_per_ev_atom": 2.351,
  "final_energy_ev_per_atom": -5.0139,
  "sg": "R3m (160)",
  "e_form_ev_per_atom": 0.037
}